(1)
A plane-wave DFT calculation with PBE was carried out for crystalline Mg8CuPd2 at its relaxed geometry.

Energy of formation from the pure elements, kJ per mole of atoms: -29.93

a b c (Å): 4.5452 6.5328 7.9522
angles (deg): 111.17 106.61 90.00
Fractional positions:
Mg  0.1888  0.2690  0.3777
Mg  0.8112  0.7310  0.6223
Mg  0.9771  0.2303  0.9542
Mg  0.0229  0.7697  0.0458
Mg  0.3343  0.0655  0.6685
Mg  0.6035  0.4423  0.2071
Mg  0.6657  0.9345  0.3315
Mg  0.3965  0.5577  0.7929
Pd  0.8173  0.3220  0.6345
Pd  0.1827  0.6780  0.3655
Cu  0.5000  0.0000  0.0000

(2)
A plane-wave DFT calculation with PBE was carried out for crystalline BaRe3F at its relaxed geometry.

Relative energy among the computed polymorphs, meV per atom: 1966

a b c (Å): 6.3597 6.3597 6.3597
angles (deg): 90.00 90.00 90.00
Last column: magnetic moment on the atom in μB.
Fractional positions:
Re  0.0000  0.0000  0.5000  3.52
Re  0.5000  0.0000  0.0000  3.97
Re  0.0000  0.5000  0.0000  3.72
Ba  0.0000  0.0000  0.0000  -0.05
F  0.5000  0.5000  0.5000  0.20

(3)
A plane-wave DFT calculation with PBE was carried out for crystalline RbTlC2 at its relaxed geometry.

Relative energy among the computed polymorphs, meV per atom: 0
Energy of formation from the pure elements, kJ per mole of atoms: 208.78

a b c (Å): 4.8882 4.8882 8.4404
angles (deg): 73.17 73.17 90.00
Fractional positions:
Rb  0.5000  0.5000  0.0000
Rb  0.2500  0.7500  0.5000
Tl  0.7500  0.2500  0.5000
Tl  0.0000  0.0000  0.0000
C  0.8750  0.1246  0.7500
C  0.8754  0.6250  0.2500
C  0.8746  0.1250  0.2500
C  0.3750  0.1254  0.7500

(4)
A plane-wave DFT calculation with PBE was carried out for crystalline RbPPd2S4 at its relaxed geometry.

a b c (Å): 6.4186 6.2978 6.2978
angles (deg): 82.25 59.36 59.36
Fractional positions:
S  0.3596  0.1841  0.4725
S  0.0162  0.8159  0.5275
S  0.9838  0.4725  0.1841
S  0.6404  0.5275  0.8159
Rb  0.0000  0.0000  0.0000
P  0.0000  0.5000  0.5000
Pd  0.5000  0.6582  0.3418
Pd  0.5000  0.3418  0.6582

(5)
A plane-wave DFT calculation with PBE was carried out for crystalline NpGa2Tc at its relaxed geometry.

Relative energy among the computed polymorphs, meV per atom: 293
Energy of formation from the pure elements, kJ per mole of atoms: 7.05

a b c (Å): 2.6871 2.6871 8.8472
angles (deg): 90.00 90.00 90.00
Last column: magnetic moment on the atom in μB.
Fractional positions:
Ga  0.0000  0.0000  0.7749  0.00
Ga  0.0000  0.0000  0.2251  0.00
Np  0.5000  0.5000  0.5000  0.17
Tc  0.5000  0.5000  0.0000  0.20

(6)
A plane-wave DFT calculation with PBE was carried out for crystalline Na3HgP at its relaxed geometry.

Relative energy among the computed polymorphs, meV per atom: 0
Energy of formation from the pure elements, kJ per mole of atoms: -21.76

a b c (Å): 5.4532 5.4532 5.4532
angles (deg): 90.00 90.00 90.00
Fractional positions:
Na  0.0000  0.0000  0.5000
Na  0.0000  0.5000  0.0000
Na  0.5000  0.0000  0.0000
Hg  0.5000  0.5000  0.5000
P  0.0000  0.0000  0.0000

(7)
A plane-wave DFT calculation with PBE was carried out for crystalline Tm4BiPt at its relaxed geometry.

Relative energy among the computed polymorphs, meV per atom: 345
Energy of formation from the pure elements, kJ per mole of atoms: -39.93

a b c (Å): 5.4088 10.5871 9.6512
angles (deg): 121.81 90.00 104.80
Fractional positions:
Tm  0.7995  0.5991  0.9836
Tm  0.7495  0.4991  0.3307
Tm  0.6030  0.2059  0.6784
Tm  0.3970  0.7941  0.3216
Tm  0.0278  0.0557  0.3550
Tm  0.2005  0.4009  0.0164
Tm  0.2505  0.5009  0.6693
Tm  0.9722  0.9443  0.6450
Bi  0.1572  0.3145  0.2745
Bi  0.8428  0.6855  0.7255
Pt  0.1193  0.2387  0.6864
Pt  0.8807  0.7613  0.3136

(8)
A plane-wave DFT calculation with PBE was carried out for crystalline NiBr at its relaxed geometry.

a b c (Å): 3.6368 3.6349 7.6000
angles (deg): 103.70 90.31 120.00
Last column: magnetic moment on the atom in μB.
Fractional positions:
Br  0.0867  0.6672  0.2497  0.01
Br  0.9133  0.3328  0.7503  0.01
Ni  0.3019  0.1060  0.9095  0.11
Ni  0.6981  0.8940  0.0905  0.11

Computed magnetization, in the same sequence as the records: 0.000; 2.800; 0.000; 0.000; 0.095; 0.000; 0.000; 0.060 μB/atom.
Computed N(E_F), in the same sequence as the records: 3.8; 6.6; 1.8; 2.1; 6.5; 0.0; 6.0; 1.2 states/eV/f.u..
Computed total DFT energy (no corrections), in the same sequence as the records: -30.65; -22.14; -13.13; -36.58; -29.07; -10.80; -30.29; -7.58 eV/f.u..